Entry 1:
## LiAl5 (SCAN)

Data for a crystal of LiAl5 relaxed with PBEsol.

```
LiAl5
1.0
4.928 0.000 0.000
-2.464 4.268 0.000
0.000 0.000 4.618
Li Al
1 5
Cartesian
0.000 0.000 0.000
-1.643 2.846 2.309
0.821 1.421 2.309
0.000 2.845 0.000
3.287 0.000 2.309
2.464 1.423 0.000
```

Output
Polymorph energy (0 for the lowest one), kJ/mol of atoms: 2.8
Energy relative to the elements, eV/atom: -0.007
DOS at the Fermi energy, states/eV/cell: 2.42
E, eV per atom: -6.8656
Space group: P-62m, No. 189

=====

Entry 2:
## CrCuHg3 (SCAN)

Data for a crystal of CrCuHg3 relaxed with PBEsol.

```
CrCuHg3
1.0
5.142 0.000 0.000
0.000 5.142 0.000
0.000 0.000 5.142
Cr Cu Hg
1 1 3
Cartesian
0.000 0.000 0.000
2.571 2.571 2.571
0.000 0.000 2.571
0.000 2.571 0.000
2.571 0.000 0.000
```

Output
Energy relative to the elements, eV/atom: 0.752
DOS at the Fermi energy, states/eV/cell: 2.11
E, eV per atom: -46.8639
Space group: Pm-3m, No. 221

=====

Entry 3:
## Ba2TlPb (SCAN)

Data for a crystal of Ba2TlPb relaxed with PBEsol.

```
Ba2TlPb
1.0
5.940 0.000 0.000
0.000 5.940 0.000
0.000 0.000 4.245
Ba Tl Pb
2 1 1
Cartesian
0.000 2.970 0.000
2.970 0.000 0.000
0.000 0.000 2.122
2.970 2.970 2.122
```

Output
Energy relative to the elements, eV/atom: -0.667
DOS at the Fermi energy, states/eV/cell: 2.24
E, eV per atom: -57.4771
Space group: P4/mmm, No. 123

=====

Entry 4:
## LaBeAs2 (SCAN)

Data for a crystal of LaBeAs2 relaxed with PBEsol.

```
LaBeAs2
1.0
2.144 1.238 4.985
-2.144 1.238 4.985
0.000 -2.476 4.985
La Be As
1 1 2
Cartesian
0.000 0.000 0.000
0.000 0.000 7.477
0.000 0.000 3.172
0.000 0.000 11.782
```

Output
Energy relative to the elements, eV/atom: -0.566
DOS at the Fermi energy, states/eV/cell: 2.01
E, eV per atom: -22.5263
Space group: R-3m, No. 166